ScCuW: PBEsol geometry, SCAN.

Calculated values
Crystal system: trigonal
DOS at the Fermi energy (states/eV per atom): 0.698
Energy of formation (meV per atom): 444

a = 2.854 Å, b = 2.854 Å, c = 6.826 Å
α = 90.00°, β = 90.00°, γ = 120.00°
Sites, in units of the cell vectors:
Cu1 0.000 0.000 0.008
Sc1 0.333 0.667 0.673
W1 0.667 0.333 0.319